{
  "formula": "NaU2Cl8",
  "functional": "PBE",
  "state": "optimized geometry",
  "cell": [[4.286, -6.170, 0.000], [4.286, 6.170, 0.000], [-1.146, 0.000, 5.367]],
  "species": ["Na", "U", "U", "Cl", "Cl", "Cl", "Cl", "Cl", "Cl", "Cl", "Cl"],
  "fractional_positions": [[0.000, 0.000, 0.000], [0.316, 0.684, 0.500], [0.684, 0.316, 0.500], [0.062, 0.330, 0.587], [0.244, 0.756, 0.000], [0.330, 0.062, 0.587], [0.392, 0.392, 0.213], [0.608, 0.608, 0.787], [0.670, 0.938, 0.413], [0.756, 0.244, 0.000], [0.938, 0.670, 0.413]],
  "final_energy_ha_per_atom": -0.192,
  "dos_ef_per_ev_cell": 16.09,
  "raw_formation_energy_mev_per_atom": -1696
}


{
  "formula": "Y3Pd4",
  "functional": "PBE",
  "state": "optimized geometry",
  "cell": [[6.641, 3.834, 1.924], [-6.641, 3.834, 1.924], [0.000, -7.668, 1.924]],
  "species": ["Y", "Y", "Y", "Y", "Y", "Y", "Pd", "Pd", "Pd", "Pd", "Pd", "Pd", "Pd", "Pd"],
  "fractional_positions": [[0.024, 0.276, 0.405], [0.276, 0.405, 0.024], [0.405, 0.024, 0.276], [0.595, 0.976, 0.724], [0.724, 0.595, 0.976], [0.976, 0.724, 0.595], [0.000, 0.000, 0.000], [0.063, 0.550, 0.228], [0.228, 0.063, 0.550], [0.450, 0.772, 0.937], [0.500, 0.500, 0.500], [0.550, 0.228, 0.063], [0.772, 0.937, 0.450], [0.937, 0.450, 0.772]],
  "formation_enthalpy_0k_ev_per_atom": -0.918,
  "final_energy_ha_per_atom": -0.245,
  "dos_ef_per_ev_cell": 5.19
}


{
  "formula": "Pu2Be3GePt4",
  "functional": "PBE",
  "state": "optimized geometry",
  "cell": [[4.083, 0.000, 0.000], [0.000, 4.083, 0.000], [0.000, 0.000, 9.857]],
  "species": ["Pu", "Pu", "Be", "Be", "Be", "Ge", "Pt", "Pt", "Pt", "Pt"],
  "fractional_positions": [[0.000, 0.500, 0.247], [0.500, 0.000, 0.753], [0.000, 0.500, 0.881], [0.500, 0.000, 0.119], [0.500, 0.500, 0.500], [0.000, 0.000, 0.500], [0.000, 0.000, 0.000], [0.000, 0.500, 0.643], [0.500, 0.000, 0.357], [0.500, 0.500, 0.000]],
  "formation_enthalpy_0k_ev_per_atom": -0.696,
  "final_energy_ha_per_atom": -0.278,
  "dos_ef_per_ev_cell": 26.94
}


{
  "formula": "CdCuHg",
  "functional": "PBE",
  "state": "optimized geometry",
  "cell": [[0.000, 4.557, 9.350], [2.726, 0.000, 9.350], [2.726, 4.557, 0.000]],
  "species": ["Cd", "Cd", "Cd", "Cd", "Cu", "Cu", "Cu", "Cu", "Hg", "Hg", "Hg", "Hg"],
  "fractional_positions": [[0.041, 0.041, 0.209], [0.209, 0.209, 0.041], [0.791, 0.791, 0.959], [0.959, 0.959, 0.791], [0.248, 0.248, 0.502], [0.498, 0.498, 0.752], [0.502, 0.502, 0.248], [0.752, 0.752, 0.498], [0.206, 0.544, 0.206], [0.456, 0.794, 0.456], [0.544, 0.206, 0.544], [0.794, 0.456, 0.794]],
  "formation_enthalpy_0k_ev_per_atom": 0.074,
  "final_energy_ha_per_atom": -0.062,
  "dos_ef_per_ev_cell": 3.76
}


{
  "formula": "TbGdBr",
  "functional": "PBE",
  "state": "optimized geometry",
  "cell": [[3.750, 0.000, 0.000], [-1.875, 3.247, 0.000], [0.000, 0.000, 7.311]],
  "species": ["Tb", "Gd", "Br"],
  "fractional_positions": [[0.000, 0.000, 0.000], [0.333, 0.667, 0.634], [0.667, 0.333, 0.314]],
  "final_energy_ha_per_atom": -0.277,
  "dos_ef_per_ev_cell": 3.25,
  "raw_formation_energy_mev_per_atom": -751
}


{
  "formula": "KRuCl6",
  "functional": "PBE",
  "state": "optimized geometry",
  "cell": [[4.005, -4.931, 0.000], [4.005, 4.931, 0.000], [-2.381, 0.000, 6.023]],
  "species": ["K", "Ru", "Cl", "Cl", "Cl", "Cl", "Cl", "Cl"],
  "fractional_positions": [[0.000, 0.000, 0.000], [0.500, 0.500, 0.500], [0.226, 0.558, 0.229], [0.227, 0.227, 0.548], [0.442, 0.774, 0.771], [0.558, 0.226, 0.229], [0.773, 0.773, 0.452], [0.774, 0.442, 0.771]],
  "final_energy_ha_per_atom": -0.128,
  "raw_formation_energy_mev_per_atom": -810
}


{
  "formula": "CeYHo",
  "functional": "PBE",
  "state": "optimized geometry",
  "cell": [[4.801, 0.000, 0.000], [0.000, 4.801, 0.000], [0.000, 0.000, 8.563]],
  "species": ["Ce", "Ce", "Y", "Y", "Ho", "Ho"],
  "fractional_positions": [[0.250, 0.250, 0.186], [0.750, 0.750, 0.814], [0.250, 0.750, 0.500], [0.750, 0.250, 0.500], [0.250, 0.250, 0.802], [0.750, 0.750, 0.198]],
  "formation_enthalpy_0k_ev_per_atom": 0.345,
  "final_energy_ha_per_atom": -0.195,
  "dos_ef_per_ev_cell": 18.44
}


{
  "formula": "HoPd2",
  "functional": "PBE",
  "state": "optimized geometry",
  "cell": [[-1.778, 1.778, 4.528], [1.778, -1.778, 4.528], [1.778, 1.778, -4.528]],
  "species": ["Ho", "Pd", "Pd"],
  "fractional_positions": [[0.000, 0.000, 0.000], [0.334, 0.334, 0.000], [0.666, 0.666, 0.000]],
  "formation_enthalpy_0k_ev_per_atom": -0.796,
  "final_energy_ha_per_atom": -0.213,
  "dos_ef_per_ev_cell": 1.90
}


{
  "formula": "Ta2CuSbP",
  "functional": "PBE",
  "state": "optimized geometry",
  "cell": [[4.595, 0.000, 0.000], [0.000, 4.595, 0.000], [0.000, 0.000, 5.154]],
  "species": ["Ta", "Ta", "Cu", "Sb", "P"],
  "fractional_positions": [[0.000, 0.500, 0.000], [0.500, 0.000, 0.000], [0.000, 0.000, 0.500], [0.500, 0.500, 0.500], [0.500, 0.500, 0.000]],
  "final_energy_ha_per_atom": -0.242,
  "dos_ef_per_ev_cell": 5.18,
  "raw_formation_energy_mev_per_atom": 886
}


{
  "formula": "Pm2ReSb",
  "functional": "PBE",
  "state": "optimized geometry",
  "cell": [[0.000, 3.682, 3.682], [3.682, 0.000, 3.682], [3.682, 3.682, 0.000]],
  "species": ["Pm", "Pm", "Re", "Sb"],
  "fractional_positions": [[0.250, 0.250, 0.250], [0.750, 0.750, 0.750], [0.000, 0.000, 0.000], [0.500, 0.500, 0.500]],
  "final_energy_ha_per_atom": -0.240,
  "dos_ef_per_ev_cell": 2.62,
  "raw_formation_energy_mev_per_atom": -15
}


{
  "formula": "LiBe2Ag",
  "functional": "PBE",
  "state": "optimized geometry",
  "cell": [[4.589, -1.400, 0.000], [4.589, 1.400, 0.000], [-1.823, 0.000, 3.710]],
  "species": ["Li", "Be", "Be", "Ag"],
  "fractional_positions": [[0.000, 0.000, 0.000], [0.230, 0.230, 0.733], [0.526, 0.526, 0.525], [0.779, 0.779, 0.281]],
  "formation_enthalpy_0k_ev_per_atom": 0.122,
  "final_energy_ha_per_atom": -0.108,
  "dos_ef_per_ev_cell": 0.94
}


{
  "formula": "TbSm3Y2Te6",
  "functional": "PBE",
  "state": "optimized geometry",
  "cell": [[9.611, -2.192, 0.000], [9.611, 2.192, 0.000], [-2.083, 0.000, 8.612]],
  "species": ["Tb", "Sm", "Sm", "Sm", "Y", "Y", "Te", "Te", "Te", "Te", "Te", "Te"],
  "fractional_positions": [[0.000, 0.000, 0.000], [0.000, 0.000, 0.500], [0.334, 0.334, 0.166], [0.666, 0.666, 0.834], [0.334, 0.334, 0.667], [0.666, 0.666, 0.333], [0.166, 0.166, 0.088], [0.168, 0.168, 0.580], [0.498, 0.498, 0.753], [0.502, 0.502, 0.247], [0.832, 0.832, 0.420], [0.834, 0.834, 0.912]],
  "final_energy_ha_per_atom": -0.204,
  "dos_ef_per_ev_cell": 6.34,
  "raw_formation_energy_mev_per_atom": -1348
}


{
  "formula": "Sc2InCu",
  "functional": "PBE",
  "state": "optimized geometry",
  "cell": [[4.437, 0.000, 0.000], [0.000, 1.715, 5.477], [0.000, -1.715, 5.477]],
  "species": ["Sc", "Sc", "In", "Cu"],
  "fractional_positions": [[0.000, 0.000, 0.000], [0.500, 0.320, 0.320], [0.000, 0.727, 0.727], [0.500, 0.577, 0.577]],
  "formation_enthalpy_0k_ev_per_atom": -0.260,
  "final_energy_ha_per_atom": -0.189,
  "dos_ef_per_ev_cell": 4.51
}


{
  "formula": "HoScCo2",
  "functional": "PBE",
  "state": "optimized geometry",
  "cell": [[3.222, 0.000, 0.000], [0.000, 3.222, 0.000], [0.000, 0.000, 6.449]],
  "species": ["Ho", "Sc", "Co", "Co"],
  "fractional_positions": [[0.000, 0.000, 0.000], [0.000, 0.000, 0.500], [0.500, 0.500, 0.267], [0.500, 0.500, 0.733]],
  "formation_enthalpy_0k_ev_per_atom": -0.242,
  "final_energy_ha_per_atom": -0.240,
  "dos_ef_per_ev_cell": 2.88
}


{
  "formula": "Mg13Ag2",
  "functional": "PBE",
  "state": "optimized geometry",
  "cell": [[6.250, 0.000, 0.000], [0.847, 7.359, 0.000], [1.817, 3.042, 7.077]],
  "species": ["Mg", "Mg", "Mg", "Mg", "Mg", "Mg", "Mg", "Mg", "Mg", "Mg", "Mg", "Mg", "Mg", "Ag", "Ag"],
  "fractional_positions": [[0.000, 0.000, 0.000], [0.126, 0.477, 0.754], [0.197, 0.212, 0.171], [0.254, 0.940, 0.580], [0.322, 0.667, 0.976], [0.365, 0.410, 0.392], [0.482, 0.140, 0.792], [0.518, 0.860, 0.208], [0.635, 0.590, 0.608], [0.678, 0.333, 0.024], [0.746, 0.060, 0.420], [0.803, 0.788, 0.829], [0.874, 0.523, 0.246], [0.067, 0.762, 0.380], [0.933, 0.238, 0.620]],
  "formation_enthalpy_0k_ev_per_atom": -0.046,
  "final_energy_ha_per_atom": -0.066,
  "dos_ef_per_ev_cell": 5.14
}


{
  "formula": "LiYTe",
  "functional": "PBE",
  "state": "optimized geometry",
  "cell": [[4.179, 0.000, 0.000], [0.014, 6.015, 0.000], [0.041, 2.544, 6.590]],
  "species": ["Li", "Li", "Y", "Y", "Te", "Te"],
  "fractional_positions": [[0.246, 0.255, 0.420], [0.754, 0.745, 0.580], [0.252, 0.328, 0.873], [0.748, 0.672, 0.127], [0.251, 0.868, 0.789], [0.749, 0.132, 0.211]],
  "final_energy_ha_per_atom": -0.170,
  "dos_ef_per_ev_cell": 3.20,
  "raw_formation_energy_mev_per_atom": -797
}


{
  "formula": "TaPbBr2",
  "functional": "PBE",
  "state": "optimized geometry",
  "cell": [[0.000, 3.571, 3.571], [3.571, 0.000, 3.571], [3.571, 3.571, 0.000]],
  "species": ["Ta", "Pb", "Br", "Br"],
  "fractional_positions": [[0.000, 0.000, 0.000], [0.500, 0.500, 0.500], [0.250, 0.250, 0.250], [0.750, 0.750, 0.750]],
  "final_energy_ha_per_atom": -0.148,
  "dos_ef_per_ev_cell": 4.11,
  "raw_formation_energy_mev_per_atom": 702
}


{
  "formula": "AlIrCl2",
  "functional": "PBE",
  "state": "optimized geometry",
  "cell": [[2.996, 0.000, 0.000], [0.000, 2.996, 0.000], [0.000, 0.000, 8.845]],
  "species": ["Al", "Ir", "Cl", "Cl"],
  "fractional_positions": [[0.000, 0.000, 0.000], [0.500, 0.500, 0.829], [0.000, 0.000, 0.627], [0.500, 0.500, 0.195]],
  "final_energy_ha_per_atom": -0.156,
  "dos_ef_per_ev_cell": 3.32,
  "raw_formation_energy_mev_per_atom": -181
}


{
  "formula": "VCr2IrI",
  "functional": "PBE",
  "state": "optimized geometry",
  "cell": [[4.933, 0.000, 0.000], [0.000, 4.933, 0.000], [0.000, 0.000, 4.746]],
  "species": ["V", "Cr", "Cr", "Ir", "I"],
  "fractional_positions": [[0.000, 0.000, 0.000], [0.000, 0.500, 0.500], [0.500, 0.000, 0.500], [0.000, 0.000, 0.500], [0.500, 0.500, 0.000]],
  "final_energy_ha_per_atom": -0.249,
  "dos_ef_per_ev_cell": 7.62,
  "raw_formation_energy_mev_per_atom": 992
}


{
  "formula": "TaPtPb",
  "functional": "PBE",
  "state": "optimized geometry",
  "cell": [[4.341, 0.000, 0.000], [-2.171, 3.760, 0.000], [0.000, 0.000, 3.930]],
  "species": ["Ta", "Pt", "Pb"],
  "fractional_positions": [[0.000, 0.000, 0.000], [0.667, 0.333, 0.809], [0.333, 0.667, 0.450]],
  "formation_enthalpy_0k_ev_per_atom": 0.186,
  "final_energy_ha_per_atom": -0.258,
  "dos_ef_per_ev_cell": 2.19
}


{
  "formula": "LuTc2W",
  "functional": "PBE",
  "state": "optimized geometry",
  "cell": [[4.569, 0.000, 0.000], [0.000, 4.569, 0.000], [0.000, 0.000, 3.206]],
  "species": ["Lu", "Tc", "Tc", "W"],
  "fractional_positions": [[0.000, 0.000, 0.000], [0.000, 0.500, 0.500], [0.500, 0.000, 0.500], [0.500, 0.500, 0.000]],
  "formation_enthalpy_0k_ev_per_atom": -0.016,
  "final_energy_ha_per_atom": -0.352,
  "dos_ef_per_ev_cell": 3.82
}


{
  "formula": "DyHo2Tm",
  "functional": "PBE",
  "state": "optimized geometry",
  "cell": [[4.967, 0.000, 0.000], [0.000, 4.967, 0.000], [0.000, 0.000, 4.967]],
  "species": ["Dy", "Ho", "Ho", "Tm"],
  "fractional_positions": [[0.000, 0.000, 0.000], [0.000, 0.500, 0.500], [0.500, 0.000, 0.500], [0.500, 0.500, 0.000]],
  "formation_enthalpy_0k_ev_per_atom": 0.023,
  "final_energy_ha_per_atom": -0.167,
  "dos_ef_per_ev_cell": 5.71
}


{
  "formula": "Er2MgAl3Pt4",
  "functional": "PBE",
  "state": "optimized geometry",
  "cell": [[4.072, 0.000, 0.000], [0.000, 4.072, 0.000], [0.000, 0.000, 11.243]],
  "species": ["Er", "Er", "Mg", "Al", "Al", "Al", "Pt", "Pt", "Pt", "Pt"],
  "fractional_positions": [[0.000, 0.500, 0.246], [0.500, 0.000, 0.754], [0.000, 0.000, 0.500], [0.000, 0.500, 0.871], [0.500, 0.000, 0.129], [0.500, 0.500, 0.500], [0.000, 0.000, 0.000], [0.000, 0.500, 0.651], [0.500, 0.000, 0.349], [0.500, 0.500, 0.000]],
  "formation_enthalpy_0k_ev_per_atom": -1.043,
  "final_energy_ha_per_atom": -0.208,
  "dos_ef_per_ev_cell": 5.41
}


{
  "formula": "Hf4VIr3",
  "functional": "PBE",
  "state": "optimized geometry",
  "cell": [[-2.328, 2.328, 6.436], [2.328, -2.328, 6.436], [2.328, 2.328, -6.436]],
  "species": ["Hf", "Hf", "Hf", "Hf", "V", "Ir", "Ir", "Ir"],
  "fractional_positions": [[0.124, 0.624, 0.500], [0.376, 0.876, 0.500], [0.624, 0.124, 0.500], [0.876, 0.376, 0.500], [0.000, 0.000, 0.000], [0.250, 0.250, 0.000], [0.500, 0.500, 0.000], [0.750, 0.750, 0.000]],
  "formation_enthalpy_0k_ev_per_atom": -0.739,
  "final_energy_ha_per_atom": -0.374,
  "dos_ef_per_ev_cell": 4.77
}


{
  "formula": "Al2TlSe",
  "functional": "PBE",
  "state": "optimized geometry",
  "cell": [[0.000, 3.529, 3.529], [3.529, 0.000, 3.529], [3.529, 3.529, 0.000]],
  "species": ["Al", "Al", "Tl", "Se"],
  "fractional_positions": [[0.250, 0.250, 0.250], [0.750, 0.750, 0.750], [0.000, 0.000, 0.000], [0.500, 0.500, 0.500]],
  "final_energy_ha_per_atom": -0.113,
  "dos_ef_per_ev_cell": 5.81,
  "raw_formation_energy_mev_per_atom": 257
}


{
  "formula": "ErReB",
  "functional": "PBE",
  "state": "optimized geometry",
  "cell": [[3.930, -2.597, 0.000], [3.930, 2.597, 0.000], [-3.790, 0.000, 4.823]],
  "species": ["Er", "Er", "Re", "Re", "B", "B"],
  "fractional_positions": [[0.073, 0.073, 0.318], [0.927, 0.927, 0.682], [0.401, 0.401, 0.235], [0.599, 0.599, 0.765], [0.373, 0.373, 0.851], [0.627, 0.627, 0.149]],
  "formation_enthalpy_0k_ev_per_atom": 0.225,
  "final_energy_ha_per_atom": -0.282,
  "dos_ef_per_ev_cell": 4.72
}